Density functional theory data (GGA-PBE) for a relaxed structure of Ho2RhI.

As for the symmetry: R3m, No. 160. The total magnetization is 0.0 μB/f.u. For the formation energy (no corrections), the calculation gives -0.934 eV per atom. As for the total energy: -21.79 eV/f.u.

Structure (POSCAR):
```
Ho2RhI
1.0
4.0606 0.0000 0.0000
2.0303 3.5166 0.0000
2.0303 1.1722 7.9062
Ho Rh I
2 1 1
Direct
0.0607 0.0607 0.8179
0.2741 0.2741 0.1777
0.6671 0.6671 0.9987
0.4981 0.4981 0.5056
```

---

Density functional theory data (GGA-PBE) for a relaxed structure of Ho2RhI.

As for the symmetry: R-3m, No. 166. The total magnetization is 0.0 μB/f.u. For the formation energy (no corrections), the calculation gives -0.021 eV per atom. As for the total energy: -18.14 eV/f.u.

Structure (POSCAR):
```
Ho2RhI
1.0
3.5526 0.0000 0.0000
1.7763 3.0767 0.0000
1.7763 1.0256 10.0734
I Rh Ho
1 1 2
Direct
0.5000 0.5000 0.5000
0.0000 0.0000 0.0000
0.0824 0.0824 0.7527
0.9176 0.9176 0.2473
```

---

Density functional theory data (GGA-PBE) for a relaxed structure of Ho4RhI5.

As for the symmetry: C2/m, No. 12. The total magnetization is 0.0 μB/f.u. For the formation energy (no corrections), the calculation gives -1.130 eV per atom. As for the total energy: -44.71 eV/f.u.

Structure (POSCAR):
```
Ho4RhI5
1.0
4.0935 0.0000 0.0000
0.0000 8.8719 -0.4024
-2.0467 -1.6629 9.6429
Ho Rh I
4 1 5
Direct
0.3580 0.9268 0.7160
0.9992 0.7995 0.9984
0.6420 0.0732 0.2840
0.0008 0.2005 0.0016
0.5000 0.0000 0.0000
0.8317 0.6563 0.6634
0.8212 0.1687 0.6424
0.1788 0.8313 0.3576
0.5000 0.5000 0.0000
0.1683 0.3437 0.3366
```

---

Density functional theory data (GGA-PBE) for a relaxed structure of Ho2RhI.

As for the symmetry: Cm, No. 8. The total magnetization is 0.0 μB/f.u. For the formation energy (no corrections), the calculation gives -0.926 eV per atom. As for the total energy: -21.76 eV/f.u.

Structure (POSCAR):
```
Ho2RhI
1.0
-2.6171 2.5508 1.8058
-2.4028 -1.3593 2.9992
4.9112 2.1833 6.2712
Ho Rh I
2 1 1
Direct
0.9202 0.9202 0.0895
0.1989 0.1989 0.4359
0.5618 0.5618 0.2556
0.8191 0.8191 0.7191
```

---

Density functional theory data (GGA-PBE) for a relaxed structure of SmHoRhI.

As for the symmetry: R3m, No. 160. The total magnetization is 0.0 μB/f.u. For the formation energy (no corrections), the calculation gives -0.937 eV per atom. As for the total energy: -21.95 eV/f.u.

Structure (POSCAR):
```
SmHoRhI
1.0
4.0904 -0.0005 -0.0005
-2.0447 3.5425 -0.0002
-2.0455 -1.1810 8.0053
Sm Ho Rh I
1 1 1 1
Direct
0.5146 0.1552 0.6853
0.0910 0.9435 0.0497
0.3073 0.5515 0.8742
0.9651 0.3806 0.3605
```

---

Density functional theory data (GGA-PBE) for a relaxed structure of Ho2RuI.

As for the symmetry: P4/mmm, No. 123. The total magnetization is 0.0 μB/f.u. For the formation energy (no corrections), the calculation gives -0.556 eV per atom. As for the total energy: -22.21 eV/f.u.

Structure (POSCAR):
```
Ho2RuI
1.0
3.4778 0.0000 0.0000
0.0000 3.4778 0.0000
0.0000 0.0000 8.3402
I Ru Ho
1 1 2
Direct
0.5000 0.5000 0.5000
0.5000 0.5000 0.0000
0.0000 0.0000 0.8034
0.0000 0.0000 0.1966
```